# Hf4Zr2Sb3N3

A relaxed structure of Hf4Zr2Sb3N3 (PBE, the Open Quantum Materials Database).

Cell lengths 5.9644, 5.9644, 13.7715 Å; angles 102.48, 102.48, 59.96 degrees
Last column: nearest neighbours and their distance in Å.
Element x y z (fractional)
Hf 0.0229 0.2007 0.0852  3 N 2.25-2.28
Hf 0.1429 0.3053 0.4146  3 N 2.25-2.28
Hf 0.2007 0.0229 0.5852  3 N 2.25-2.28
Hf 0.3053 0.1429 0.9146  3 N 2.25-2.28
Hf 0.6947 0.8571 0.0854  3 N 2.25-2.28
Hf 0.7993 0.9771 0.4148  3 N 2.25-2.28
Hf 0.8571 0.6947 0.5854  3 N 2.25-2.28
Hf 0.9771 0.7993 0.9148  3 N 2.25-2.28
Zr 0.3676 0.5297 0.0881  3 N 2.34-2.37
Zr 0.4703 0.6324 0.4119  3 N 2.34-2.37
Zr 0.5297 0.3676 0.5881  3 N 2.34-2.37
Zr 0.6324 0.4703 0.9119  3 N 2.34-2.37
Sb 0.0794 0.9206 0.2500  2 Zr 2.96, 4 Hf 2.97
Sb 0.2475 0.4153 0.7487  2 Zr 2.94, 4 Hf 2.95
Sb 0.4153 0.2475 0.2487  2 Zr 2.94, 4 Hf 2.95
Sb 0.5847 0.7525 0.7513  2 Zr 2.94, 4 Hf 2.95
Sb 0.7525 0.5847 0.2513  2 Zr 2.94, 4 Hf 2.95
Sb 0.9206 0.0794 0.7500  2 Zr 2.96, 4 Hf 2.97
N 0.0000 0.5000 0.0000  4 Hf 2.27-2.28, 2 Zr 2.34
N 0.1487 0.6756 0.5000  4 Hf 2.25-2.28, 2 Zr 2.37
N 0.3244 0.8513 0.0000  4 Hf 2.25-2.28, 2 Zr 2.37
N 0.5000 0.0000 0.5000  4 Hf 2.27-2.28, 2 Zr 2.34
N 0.6756 0.1487 0.0000  4 Hf 2.25-2.28, 2 Zr 2.37
N 0.8513 0.3244 0.5000  4 Hf 2.25-2.28, 2 Zr 2.37

Computed properties:
ρ = 10542 kg/m³
spin magnetization = 0.005 μB/cell
E = -213.51 eV per cell